# PBE with a Hubbard U Na3AlCr2O6, relaxed
# N(E_F) (states/eV/f.u.): 0.00
# Energy (eV/atom): -6.492
data_Na3AlCr2O6
_space_group_name_H-M_alt 'C 1 2/m 1'
_space_group_IT_number 12
_space_group_name_Hall '-C 2y'
_cell_length_a 5.191
_cell_length_b 8.994
_cell_length_c 5.638
_cell_angle_alpha 90.00
_cell_angle_beta 107.92
_cell_angle_gamma 90.00
loop_
_atom_site_label
_atom_site_type_symbol
_atom_site_fract_x
_atom_site_fract_y
_atom_site_fract_z
Na1 Na 0.000 0.000 0.000
Na2 Na 0.000 0.332 0.000
Al1 Al 0.000 0.500 0.500
Cr1 Cr 0.000 0.167 0.500
O1 O 0.226 0.339 0.695
O2 O 0.243 0.000 0.694